Entry 1:
A plane-wave DFT calculation with PBE-GGA was carried out for CsTiS2O8 after structural relaxation.

Values from the calculation:
Symmetry: P-3, No. 147
ΔE_f (raw) in eV per atom: -1.85
D(E_F) in states/eV per cell: 5.2
Magnetic moment in μB/cell: 1.0
E_tot in eV per atom: -6.573

Cell and atoms, written as POSCAR:
```
CsTiS2O8
1.0
5.084 0.000 0.000
-2.542 4.403 0.000
0.000 0.000 8.890
Cs Ti S O
1 1 2 8
direct
0.000 0.000 0.000 Cs
0.000 0.000 0.500 Ti
0.667 0.333 0.307 S
0.333 0.667 0.693 S
0.333 0.667 0.858 O
0.362 0.264 0.364 O
0.736 0.097 0.364 O
0.667 0.333 0.142 O
0.264 0.903 0.636 O
0.638 0.736 0.636 O
0.097 0.362 0.636 O
0.903 0.638 0.364 O
```

Entry 2:
A plane-wave DFT calculation with PBE-GGA was carried out for CsTmS2O8 after structural relaxation.

Values from the calculation:
Symmetry: P-3, No. 147
ΔE_f (raw) in eV per atom: -2.13
D(E_F) in states/eV per cell: 0.0
Magnetic moment in μB/cell: 0.0
E_tot in eV per atom: -6.563

Cell and atoms, written as POSCAR:
```
CsTmS2O8
1.0
-2.971 3.617 2.648
-2.395 -3.968 -2.727
0.227 -5.109 7.234
Cs Tm S O
1 1 2 8
direct
0.000 0.000 0.000 Cs
0.000 0.000 0.500 Tm
0.667 0.333 0.291 S
0.333 0.667 0.709 S
0.333 0.667 0.874 O
0.373 0.240 0.350 O
0.760 0.133 0.350 O
0.667 0.333 0.126 O
0.240 0.867 0.650 O
0.627 0.760 0.650 O
0.133 0.373 0.650 O
0.867 0.627 0.350 O
```